Record 1
DFT (GGA-PBE) results for a relaxed BaTiF3 crystal.

E_tot: -5.08 eV/atom
Symmetry: Pm-3m
Formation energy from raw total energies: -1.995 eV per atom
D(E_F): 1.33 states/eV/atom
Energy above the most stable polymorph in this dataset: 625 meV/atom

```
BaTiF3
1.0
5.055 0.000 0.000
0.000 5.055 0.000
0.000 0.000 5.055
Ba Ti F
1 1 3
Direct
0.000 0.000 0.000
0.500 0.500 0.500
0.000 0.000 0.500
0.000 0.500 0.000
0.500 0.000 0.000
```

---

Record 2
DFT (GGA-PBE) results for a relaxed Ba2TiF crystal.

E_tot: -3.45 eV/atom
Symmetry: Fm-3m
Formation energy from raw total energies: -0.051 eV per atom
D(E_F): 2.98 states/eV/atom
Energy above the most stable polymorph in this dataset: 570 meV/atom

```
Ba2TiF
1.0
0.000 4.083 4.083
4.083 0.000 4.083
4.083 4.083 0.000
Ba Ti F
2 1 1
Direct
0.250 0.250 0.250
0.750 0.750 0.750
0.000 0.000 0.000
0.500 0.500 0.500
```

---

Record 3
DFT (GGA-PBE) results for a relaxed BaTi3F crystal.

E_tot: -3.74 eV/atom
Symmetry: Pm-3m
Formation energy from raw total energies: 1.760 eV per atom
D(E_F): 0.94 states/eV/atom
Energy above the most stable polymorph in this dataset: 1680 meV/atom

```
BaTi3F
1.0
5.080 0.000 0.000
0.000 5.080 0.000
0.000 0.000 5.080
Ba Ti F
1 3 1
Direct
0.000 0.000 0.000
0.000 0.000 0.500
0.000 0.500 0.000
0.500 0.000 0.000
0.500 0.500 0.500
```

---

Record 4
DFT (GGA-PBE) results for a relaxed BaTiF5 crystal.

E_tot: -6.31 eV/atom
Symmetry: C2/c
Formation energy from raw total energies: -3.569 eV per atom
D(E_F): 0.27 states/eV/atom

```
BaTiF5
1.0
4.930 -3.592 0.000
4.930 3.592 0.000
-3.334 0.000 7.542
Ba Ti F
2 2 10
Direct
0.048 0.952 0.750
0.952 0.048 0.250
0.500 0.500 0.000
0.500 0.500 0.500
0.206 0.766 0.026
0.234 0.794 0.474
0.267 0.312 0.395
0.312 0.267 0.895
0.440 0.560 0.750
0.560 0.440 0.250
0.688 0.733 0.105
0.733 0.688 0.605
0.766 0.206 0.526
0.794 0.234 0.974
```

---

Record 5
DFT (GGA-PBE) results for a relaxed BaTi2F11 crystal.

E_tot: -5.97 eV/atom
Symmetry: Ima2
Formation energy from raw total energies: -3.231 eV per atom
D(E_F): 0.01 states/eV/atom

```
BaTi2F11
1.0
-5.641 4.125 5.479
5.641 -4.125 5.479
5.641 4.125 -5.479
Ba Ti F
2 4 22
Direct
0.000 0.000 0.000
0.000 0.500 0.500
0.109 0.535 0.074
0.461 0.035 0.926
0.546 0.462 0.584
0.878 0.962 0.416
0.007 0.299 0.978
0.007 0.529 0.208
0.073 0.506 0.842
0.073 0.732 0.068
0.196 0.018 0.679
0.321 0.029 0.022
0.321 0.799 0.792
0.339 0.518 0.321
0.352 0.244 0.379
0.352 0.473 0.608
0.397 0.679 0.218
0.461 0.179 0.782
0.624 0.919 0.205
0.664 0.006 0.932
0.664 0.232 0.158
0.682 0.468 0.484
0.682 0.698 0.714
0.714 0.419 0.795
0.865 0.744 0.392
0.865 0.973 0.621
0.984 0.198 0.516
0.984 0.968 0.286
```

---

Record 6
DFT (GGA-PBE) results for a relaxed BaTi3F crystal.

E_tot: -5.42 eV/atom
Symmetry: Pm-3m
Formation energy from raw total energies: 0.080 eV per atom
D(E_F): 1.67 states/eV/atom
Energy above the most stable polymorph in this dataset: 0 meV/atom

```
BaTi3F
1.0
4.614 0.000 0.000
0.000 4.614 0.000
0.000 0.000 4.614
Ba Ti F
1 3 1
Direct
0.000 0.000 0.000
0.000 0.500 0.500
0.500 0.000 0.500
0.500 0.500 0.000
0.500 0.500 0.500
```